# 1
Density functional theory data (PBE-GGA) for a relaxed HPt2O crystal.

abc: 4.6202 4.6202 5.4974
angles: 65.15 65.15 90.00
With the nearest neighbours (Å) after each atom.
Element x y z (fractional)
Pt: 0.8750 0.8122 0.7500  2 H 1.82
Pt: 0.1878 0.6250 0.2500  2 H 1.82
Pt: 0.5622 0.1250 0.2500  2 H 1.82
Pt: 0.3750 0.4378 0.7500  2 H 1.82
H: 0.2500 0.7500 0.5000  4 Pt 1.82
H: 0.5000 0.5000 0.0000  4 Pt 1.82
O: 0.0000 0.0000 0.0000  4 Pt 2.15
O: 0.7500 0.2500 0.5000  4 Pt 2.15

Properties
The value obtained for the energy above the most stable polymorph in this dataset is 0 kJ/mol of formula units. The space group is I-42d. Its calculated total energy is -4.887 eV/atom. The volume comes out at 11.80 Å³ per atom.

---

# 2
Density functional theory data (PBE-GGA) for a relaxed PmPrIr crystal.

abc: 6.4240 4.2294 4.2294
angles: 120.00 90.00 90.00
With the nearest neighbours (Å) after each atom.
Element x y z (fractional)
Pm: 0.2265 0.3333 0.6667  3 Ir 2.83
Pr: 0.7703 0.6667 0.3333  3 Ir 2.86
Ir: 0.0032 0.0000 0.0000  3 Pm 2.83, 3 Pr 2.86

Properties
The value obtained for the energy above the most stable polymorph in this dataset is 17 kJ/mol of formula units. The space group is P3m1. The energy of formation is -0.4750 eV per atom. Its calculated total energy is -6.605 eV/atom. The volume comes out at 33.17 Å³ per atom.

---

# 3
Density functional theory data (PBE-GGA) for a relaxed TaAg2As crystal.

abc: 2.9197 4.5015 5.4800
angles: 90.00 90.00 90.00
With the nearest neighbours (Å) after each atom.
Element x y z (fractional)
Ta: 0.5000 0.5000 0.7500  2 As 2.74, 2 Ta 2.92, 8 Ag 3.00
Ag: 0.0000 0.0000 0.9950  4 Ag 2.68-2.92, 4 Ta 3.00
Ag: 0.0000 0.0000 0.5050  4 Ag 2.68-2.92, 4 Ta 3.00
As: 0.5000 0.5000 0.2500  2 Ta 2.74, 2 As 2.92, 8 Ag 3.02

Properties
The space group is Pmmm. The energy of formation is 0.3116 eV per atom. Its calculated total energy is -5.240 eV/atom. The volume comes out at 18.01 Å³ per atom.

---

# 4
Density functional theory data (PBE-GGA) for a relaxed NdUTe4 crystal.

abc: 7.6025 7.6184 7.5848
angles: 90.00 86.36 90.00
With the nearest neighbours (Å) after each atom.
Element x y z (fractional)
U: 0.5000 0.5000 0.0000  6 Te 2.94-3.07
U: 0.0000 0.0000 0.0000  6 Te 2.94-3.07
Te: 0.6315 0.6458 0.6575  1 U 2.94, 2 Nd 3.14-3.18
Te: 0.8685 0.1458 0.3425  1 U 2.94, 2 Nd 3.14-3.18
Te: 0.1315 0.8542 0.6575  1 U 2.94, 2 Nd 3.14-3.18
Te: 0.3240 0.8356 0.1494  2 U 3.05-3.07, 1 Nd 3.30
Te: 0.1760 0.3356 0.8506  2 U 3.05-3.07, 1 Nd 3.30
Te: 0.8240 0.6644 0.1494  2 U 3.05-3.07, 1 Nd 3.30
Te: 0.6760 0.1644 0.8506  2 U 3.05-3.07, 1 Nd 3.30
Te: 0.3685 0.3542 0.3425  1 U 2.94, 2 Nd 3.14-3.18
Nd: 0.5000 0.0000 0.5000  6 Te 3.14-3.30
Nd: 0.0000 0.5000 0.5000  6 Te 3.14-3.30

Properties
The energy relative to the elements, uncorrected is -0.72 eV/atom. The space group is P2_1/c. Its calculated total energy is -5.490 eV/atom. The volume comes out at 36.53 Å³ per atom.

---

# 5
Density functional theory data (PBE-GGA) for a relaxed CaThSb crystal.

abc: 4.6917 4.6917 8.7701
angles: 90.00 90.00 90.00
With the nearest neighbours (Å) after each atom.
Element x y z (fractional)
Sb: 0.5000 0.0000 0.7781  5 Ca 3.24-3.38, 4 Th 3.38
Sb: 0.0000 0.5000 0.2219  5 Ca 3.24-3.38, 4 Th 3.38
Th: 0.5000 0.5000 0.5000  4 Th 3.32, 4 Sb 3.38
Th: 0.0000 0.0000 0.5000  4 Th 3.32, 4 Sb 3.38
Ca: 0.0000 0.5000 0.8529  5 Sb 3.24-3.38
Ca: 0.5000 0.0000 0.1471  5 Sb 3.24-3.38

Properties
The energy relative to the elements, uncorrected is -0.69 eV/atom. The space group is P4/nmm. Its calculated total energy is -5.206 eV/atom. The volume comes out at 32.17 Å³ per atom.

---

# 6
Density functional theory data (PBE-GGA) for a relaxed LaSm3Tm7 crystal.

abc: 8.6482 7.0187 7.0187
angles: 120.00 90.00 90.00
With the nearest neighbours (Å) after each atom.
Element x y z (fractional)
Tm: 0.1188 0.6665 0.8333  8 Tm 3.47-3.51, 1 La 3.48, 2 Sm 3.52
Tm: 0.4447 0.8325 0.1675  7 Tm 3.45-3.53, 2 La 3.51, 2 Sm 3.57
Tm: 0.1188 0.1667 0.8333  8 Tm 3.47-3.51, 1 La 3.48, 2 Sm 3.52
Tm: 0.4447 0.8325 0.6649  7 Tm 3.45-3.53, 2 La 3.51, 2 Sm 3.57
Tm: 0.1188 0.1667 0.3335  8 Tm 3.47-3.51, 1 La 3.48, 2 Sm 3.52
Tm: 0.1209 0.6667 0.3333  9 Tm 3.45-3.51, 3 Sm 3.53
Tm: 0.4447 0.3351 0.1675  7 Tm 3.45-3.53, 2 La 3.51, 2 Sm 3.57
Sm: 0.7858 0.5006 0.0012  4 Sm 3.50-3.52, 5 Tm 3.52-3.57, 1 La 3.57
Sm: 0.7858 0.9988 0.4994  4 Sm 3.50-3.52, 5 Tm 3.52-3.57, 1 La 3.57
Sm: 0.7858 0.5006 0.4994  4 Sm 3.50-3.52, 5 Tm 3.52-3.57, 1 La 3.57
La: 0.4464 0.3333 0.6667  9 Tm 3.48-3.51, 3 Sm 3.57

Properties
The value obtained for the energy above the most stable polymorph in this dataset is 40 kJ/mol of formula units. The space group is P3m1. The energy of formation is 0.1941 eV per atom. Its calculated total energy is -4.386 eV/atom. The volume comes out at 33.54 Å³ per atom.

---

# 7
Density functional theory data (PBE-GGA) for a relaxed Dy6Er2Ru crystal.

abc: 3.6685 8.5777 12.5601
angles: 136.37 90.00 90.01
With the nearest neighbours (Å) after each atom.
Element x y z (fractional)
Dy: 0.5001 0.2849 0.0522  2 Ru 2.73
Dy: 0.9999 0.2242 0.7797  4 Er 3.44-3.65, 7 Dy 3.54-3.67
Dy: 0.0001 0.7758 0.2203  4 Er 3.44-3.65, 7 Dy 3.54-3.67
Dy: 0.9994 0.2661 0.3015  1 Ru 2.65
Dy: 0.4999 0.7151 0.9478  2 Ru 2.73
Dy: 0.0006 0.7339 0.6985  1 Ru 2.65
Ru: 0.0000 0.0000 0.0000  6 Dy 2.65-2.73
Er: 0.4998 0.7674 0.4672  3 Er 3.44-3.67, 9 Dy 3.44-3.65
Er: 0.5002 0.2326 0.5328  3 Er 3.44-3.67, 9 Dy 3.44-3.65

Properties
The space group is P2/m. The energy of formation is -0.0619 eV per atom. Its calculated total energy is -5.175 eV/atom. The volume comes out at 30.30 Å³ per atom.

---

# 8
Density functional theory data (PBE-GGA) for a relaxed Na3La2ErS6 crystal.

abc: 7.1693 7.1693 7.0810
angles: 99.71 99.71 120.01
With the nearest neighbours (Å) after each atom.
Element x y z (fractional)
S: 0.2429 0.2429 0.7713  1 Er 2.75, 2 La 2.88, 3 Na 2.94-3.08
S: 0.7571 0.7571 0.2287  1 Er 2.75, 2 La 2.88, 3 Na 2.94-3.08
S: 0.6036 0.9229 0.7685  1 Er 2.76, 2 La 2.89, 3 Na 2.95-3.08
S: 0.9229 0.6036 0.7685  1 Er 2.76, 2 La 2.89, 3 Na 2.95-3.08
S: 0.0771 0.3964 0.2315  1 Er 2.76, 2 La 2.89, 3 Na 2.95-3.08
S: 0.3964 0.0771 0.2315  1 Er 2.76, 2 La 2.89, 3 Na 2.95-3.08
Na: 0.8353 0.1647 0.5000  6 S 2.94-3.08
Na: 0.1647 0.8353 0.5000  6 S 2.94-3.08
Na: 0.5000 0.5000 0.5000  6 S 2.95-3.08
Er: 0.0000 0.0000 0.0000  6 S 2.75-2.76
La: 0.3332 0.6668 0.0000  6 S 2.88-2.89
La: 0.6668 0.3332 0.0000  6 S 2.88-2.89

Properties
The energy relative to the elements, uncorrected is -1.85 eV/atom. The space group is C2/m. Its calculated total energy is -5.443 eV/atom. The volume comes out at 24.72 Å³ per atom.